1.
# NaCuSnTe2 (PBE, optimized geometry)
data_NaCuSnTe2
_chemical_formula_sum 'Na2 Cu2 Sn2 Te4'
_cell_length_a 7.7887
_cell_length_b 4.9942
_cell_length_c 8.3921
_cell_angle_alpha 90.00
_cell_angle_beta 111.09
_cell_angle_gamma 90.00
_symmetry_space_group_name_H-M 'P 1'
_symmetry_Int_Tables_number 1
loop_
_symmetry_equiv_pos_as_xyz
'x,y,z'
loop_
_atom_site_label
_atom_site_fract_x
_atom_site_fract_y
_atom_site_fract_z
Na1 0.0000 0.2277 0.2500
Na2 0.0000 0.7723 0.7500
Cu1 0.5000 0.0000 0.0000
Cu2 0.5000 0.0000 0.5000
Sn1 0.5000 0.3568 0.7500
Sn2 0.5000 0.6432 0.2500
Te1 0.2333 0.2772 0.9966
Te2 0.2333 0.7228 0.4966
Te3 0.7667 0.2772 0.5034
Te4 0.7667 0.7228 0.0034
# * uncorrected formation energy: -0.351 eV per atom
# * total energy: -34.91 eV per cell

2.
# MnCr2Mo (PBE, optimized geometry)
data_MnCr2Mo
_chemical_formula_sum 'Mn1 Cr2 Mo1'
_cell_length_a 2.5660
_cell_length_b 4.1224
_cell_length_c 4.8579
_cell_angle_alpha 90.00
_cell_angle_beta 100.06
_cell_angle_gamma 90.00
_symmetry_space_group_name_H-M 'P 1'
_symmetry_Int_Tables_number 1
loop_
_symmetry_equiv_pos_as_xyz
'x,y,z'
loop_
_atom_site_label
_atom_site_fract_x
_atom_site_fract_y
_atom_site_fract_z
Mn1 0.0000 0.0000 0.0000
Cr1 0.2686 0.5000 0.7631
Cr2 0.7314 0.5000 0.2369
Mo1 0.5000 0.0000 0.5000
# * ΔE_f: 0.109 eV/atom
# * total energy: -38.81 eV per cell

What is the total energy in the first record? -34.91 eV per cell

Look up the total energy of the second one. -38.81 eV per cell